1.
An optimized crystal structure of Ac2RhBr, computed with PBE-GGA.

The structure in CIF format:
```
data_Ac2RhBr
_chemical_formula_sum 'Ac2 Rh1 Br1'
_cell_length_a 4.3339
_cell_length_b 4.3339
_cell_length_c 8.6862
_cell_angle_alpha 89.99
_cell_angle_beta 104.46
_cell_angle_gamma 120.00
_space_group_name_H-M_alt 'P 1'
_space_group_IT_number 1
_space_group_name_Hall 'P 1'
loop_
_atom_site_label
_atom_site_fract_x
_atom_site_fract_y
_atom_site_fract_z
Br1 0.0000 0.5000 0.5000
Rh1 0.0000 0.0000 0.0000
Ac1 0.4630 0.7314 0.1944
Ac2 0.5370 0.2686 0.8056
```

Calculated values
The value obtained for the uncorrected formation energy is -1.17 eV/atom. As for the density of states at the Fermi level: 0.63 states/eV/f.u. The crystal system is trigonal. The calculation puts the density at 7.82 g cm⁻³. As for the space group: R-3m (166).


2.
An optimized crystal structure of Ac3RhBr3, computed with PBE-GGA.

The structure in CIF format:
```
data_Ac3RhBr3
_chemical_formula_sum 'Ac6 Rh2 Br6'
_cell_length_a 4.2926
_cell_length_b 9.6752
_cell_length_c 12.8256
_cell_angle_alpha 94.99
_cell_angle_beta 90.00
_cell_angle_gamma 90.00
_space_group_name_H-M_alt 'P 1'
_space_group_IT_number 1
_space_group_name_Hall 'P 1'
loop_
_atom_site_label
_atom_site_fract_x
_atom_site_fract_y
_atom_site_fract_z
Rh1 0.2500 0.8724 0.3725
Rh2 0.7500 0.1276 0.6275
Ac1 0.2500 0.3358 0.6301
Ac2 0.2500 0.8598 0.1440
Ac3 0.7500 0.6642 0.3699
Ac4 0.2500 0.9132 0.6118
Ac5 0.7500 0.0868 0.3882
Ac6 0.7500 0.1402 0.8560
Br1 0.7500 0.6093 0.1194
Br2 0.7500 0.6150 0.6206
Br3 0.2500 0.8885 0.8865
Br4 0.7500 0.1115 0.1135
Br5 0.2500 0.3907 0.8806
Br6 0.2500 0.3850 0.3794
```

Calculated values
The value obtained for the uncorrected formation energy is -1.41 eV/atom. As for the density of states at the Fermi level: 3.32 states/eV/f.u. The crystal system is monoclinic. The calculation puts the density at 6.41 g cm⁻³. As for the space group: P2_1/m (11).


3.
An optimized crystal structure of Ac2RhBr2, computed with PBE-GGA.

The structure in CIF format:
```
data_Ac2RhBr2
_chemical_formula_sum 'Ac2 Rh1 Br2'
_cell_length_a 4.3556
_cell_length_b 4.3556
_cell_length_c 11.4531
_cell_angle_alpha 79.04
_cell_angle_beta 79.04
_cell_angle_gamma 60.00
_space_group_name_H-M_alt 'P 1'
_space_group_IT_number 1
_space_group_name_Hall 'P 1'
loop_
_atom_site_label
_atom_site_fract_x
_atom_site_fract_y
_atom_site_fract_z
Ac1 0.3844 0.3844 0.8468
Ac2 0.6156 0.6156 0.1532
Br1 0.7784 0.7784 0.6648
Br2 0.2216 0.2216 0.3352
Rh1 0.0000 0.0000 0.0000
```

Calculated values
The value obtained for the uncorrected formation energy is -1.37 eV/atom. As for the density of states at the Fermi level: 2.35 states/eV/f.u. The crystal system is trigonal. The calculation puts the density at 6.48 g cm⁻³. As for the space group: R-3m (166).


4.
An optimized crystal structure of Ac2RhBr, computed with PBE-GGA.

The structure in CIF format:
```
data_Ac2RhBr
_chemical_formula_sum 'Ac2 Rh1 Br1'
_cell_length_a 3.6926
_cell_length_b 3.6926
_cell_length_c 8.6896
_cell_angle_alpha 90.00
_cell_angle_beta 90.00
_cell_angle_gamma 90.00
_space_group_name_H-M_alt 'P 1'
_space_group_IT_number 1
_space_group_name_Hall 'P 1'
loop_
_atom_site_label
_atom_site_fract_x
_atom_site_fract_y
_atom_site_fract_z
Ac1 0.0000 0.0000 0.7895
Ac2 0.0000 0.0000 0.2105
Rh1 0.5000 0.5000 0.0000
Br1 0.5000 0.5000 0.5000
```

Calculated values
The value obtained for the uncorrected formation energy is -0.90 eV/atom. As for the density of states at the Fermi level: 3.13 states/eV/f.u. The crystal system is tetragonal. The calculation puts the density at 8.92 g cm⁻³. As for the space group: P4/mmm (123).


5.
An optimized crystal structure of Ac6Rh3Br2, computed with PBE-GGA.

The structure in CIF format:
```
data_Ac6Rh3Br2
_chemical_formula_sum 'Ac6 Rh3 Br2'
_cell_length_a 7.5428
_cell_length_b 7.5481
_cell_length_c 8.4890
_cell_angle_alpha 81.48
_cell_angle_beta 72.76
_cell_angle_gamma 60.02
_space_group_name_H-M_alt 'P 1'
_space_group_IT_number 1
_space_group_name_Hall 'P 1'
loop_
_atom_site_label
_atom_site_fract_x
_atom_site_fract_y
_atom_site_fract_z
Rh1 0.3306 0.3388 0.0000
Rh2 0.6694 0.6612 0.0000
Rh3 0.0000 0.0000 0.0000
Ac1 0.6006 0.3317 0.1976
Ac2 0.9323 0.6683 0.1976
Ac3 0.3994 0.6683 0.8024
Ac4 0.0677 0.3317 0.8024
Ac5 0.2691 0.0000 0.1976
Ac6 0.7309 0.0000 0.8024
Br1 0.1667 0.6667 0.5000
Br2 0.8333 0.3333 0.5000
```

Calculated values
The value obtained for the uncorrected formation energy is -0.97 eV/atom. As for the density of states at the Fermi level: 6.23 states/eV/f.u. The crystal system is monoclinic. The calculation puts the density at 7.60 g cm⁻³. As for the space group: C2/m (12).


6.
An optimized crystal structure of Ac2RhBr, computed with PBE-GGA.

The structure in CIF format:
```
data_Ac2RhBr
_chemical_formula_sum 'Ac2 Rh1 Br1'
_cell_length_a 4.3128
_cell_length_b 4.3128
_cell_length_c 8.7805
_cell_angle_alpha 75.78
_cell_angle_beta 75.78
_cell_angle_gamma 60.00
_space_group_name_H-M_alt 'P 1'
_space_group_IT_number 1
_space_group_name_Hall 'P 1'
loop_
_atom_site_label
_atom_site_fract_x
_atom_site_fract_y
_atom_site_fract_z
Ac1 0.2695 0.2695 0.1915
Ac2 0.0649 0.0649 0.8052
Br1 0.4979 0.4979 0.5063
Rh1 0.6677 0.6677 0.9970
```

Calculated values
The value obtained for the uncorrected formation energy is -1.15 eV/atom. As for the density of states at the Fermi level: 0.65 states/eV/f.u. The crystal system is trigonal. The calculation puts the density at 7.80 g cm⁻³. As for the space group: R3m (160).


7.
An optimized crystal structure of Ac3Rh2Br, computed with PBE-GGA.

The structure in CIF format:
```
data_Ac3Rh2Br
_chemical_formula_sum 'Ac6 Rh4 Br2'
_cell_length_a 4.0621
_cell_length_b 9.0156
_cell_length_c 11.6110
_cell_angle_alpha 90.00
_cell_angle_beta 90.00
_cell_angle_gamma 103.01
_space_group_name_H-M_alt 'P 1'
_space_group_IT_number 1
_space_group_name_Hall 'P 1'
loop_
_atom_site_label
_atom_site_fract_x
_atom_site_fract_y
_atom_site_fract_z
Ac1 0.5829 0.1731 0.7500
Ac2 0.4171 0.8269 0.2500
Ac3 0.3932 0.7887 0.5831
Ac4 0.3932 0.7887 0.9169
Ac5 0.6068 0.2113 0.0831
Ac6 0.6068 0.2113 0.4169
Rh1 0.0344 0.0645 0.2500
Rh2 0.0000 0.0000 0.5000
Rh3 0.0000 0.0000 0.0000
Rh4 0.9656 0.9355 0.7500
Br1 0.2329 0.4739 0.7500
Br2 0.7671 0.5261 0.2500
```

Calculated values
The value obtained for the uncorrected formation energy is -0.82 eV/atom. As for the density of states at the Fermi level: 2.23 states/eV/f.u. The crystal system is monoclinic. The calculation puts the density at 7.75 g cm⁻³. As for the space group: P2_1/m (11).


8.
An optimized crystal structure of Ac6Ru2RhBr2, computed with PBE-GGA.

The structure in CIF format:
```
data_Ac6Ru2RhBr2
_chemical_formula_sum 'Ac6 Ru2 Rh1 Br2'
_cell_length_a 7.4703
_cell_length_b 7.4703
_cell_length_c 8.6895
_cell_angle_alpha 98.66
_cell_angle_beta 98.66
_cell_angle_gamma 119.85
_space_group_name_H-M_alt 'P 1'
_space_group_IT_number 1
_space_group_name_Hall 'P 1'
loop_
_atom_site_label
_atom_site_fract_x
_atom_site_fract_y
_atom_site_fract_z
Ru1 0.3293 0.6707 0.5000
Ru2 0.6707 0.3293 0.5000
Rh1 0.0000 0.0000 0.5000
Br1 0.8338 0.1662 0.0000
Br2 0.1662 0.8338 0.0000
Ac1 0.0641 0.4062 0.6942
Ac2 0.7317 0.7317 0.6891
Ac3 0.5938 0.9359 0.3058
Ac4 0.4062 0.0641 0.6942
Ac5 0.9359 0.5938 0.3058
Ac6 0.2683 0.2683 0.3109
```

Calculated values
The value obtained for the uncorrected formation energy is -0.75 eV/atom. As for the density of states at the Fermi level: 3.55 states/eV/f.u. The crystal system is monoclinic. The calculation puts the density at 7.56 g cm⁻³. As for the space group: C2/m (12).


> Number 8 is which compound?

Ac6Ru2RhBr2


Copy entry 6 word for word.
An optimized crystal structure of Ac2RhBr, computed with PBE-GGA.

The structure in CIF format:
```
data_Ac2RhBr
_chemical_formula_sum 'Ac2 Rh1 Br1'
_cell_length_a 4.3128
_cell_length_b 4.3128
_cell_length_c 8.7805
_cell_angle_alpha 75.78
_cell_angle_beta 75.78
_cell_angle_gamma 60.00
_space_group_name_H-M_alt 'P 1'
_space_group_IT_number 1
_space_group_name_Hall 'P 1'
loop_
_atom_site_label
_atom_site_fract_x
_atom_site_fract_y
_atom_site_fract_z
Ac1 0.2695 0.2695 0.1915
Ac2 0.0649 0.0649 0.8052
Br1 0.4979 0.4979 0.5063
Rh1 0.6677 0.6677 0.9970
```

Calculated values
The value obtained for the uncorrected formation energy is -1.15 eV/atom. As for the density of states at the Fermi level: 0.65 states/eV/f.u. The crystal system is trigonal. The calculation puts the density at 7.80 g cm⁻³. As for the space group: R3m (160).


> Among the records above, which one has the highest uncorrected formation energy?

Ac6Ru2RhBr2